(1)
Here is Zn2FeBr after structural relaxation from the Alexandria database. Energies are from PBE-GGA.

Lattice parameters (Å, degrees): 8.261 8.261 8.261 23.03 23.03 23.03
Element x y z (fractional)
Zn  0.005  0.005  0.005
Zn  0.264  0.264  0.264
Fe  0.747  0.747  0.747
Br  0.483  0.483  0.483

## Properties
N(E_F) = 2.1 states/eV/cell
SG = R3m
magnetic moment = 0.780 μB/atom
total energy = -2.963 eV per atom
volume = 18.93 Å³/atom
formation energy (no corrections) = 20.0 kJ per mole of atoms
energy above the most stable polymorph in this dataset = 79 meV per atom

***

(2)
Here is LaErRu after structural relaxation from the Alexandria database. Energies are from PBE-GGA.

Lattice parameters (Å, degrees): 5.279 5.499 5.723 99.15 90.01 90.00
Element x y z (fractional)
Ru  0.252  0.901  0.651
Ru  0.752  0.106  0.352
Er  0.252  0.014  0.182
Er  0.752  0.993  0.821
La  0.252  0.435  0.715
La  0.752  0.572  0.288

## Properties
N(E_F) = 4.4 states/eV/cell
energy of formation = -6.2 kcal/mol of atoms
SG = P2_1/m
magnetic moment = 0.000 μB/atom
total energy = -6.524 eV per atom
volume = 27.34 Å³/atom
energy above the most stable polymorph in this dataset = 3 meV per atom

***

(3)
Here is Li2ScSb2 after structural relaxation from the Alexandria database. Energies are from PBE-GGA.

Lattice parameters (Å, degrees): 7.986 7.986 3.219 90.00 90.00 90.00
Element x y z (fractional)
Li  0.111  0.389  0.000
Li  0.389  0.889  0.000
Li  0.611  0.111  0.000
Li  0.889  0.611  0.000
Sb  0.186  0.686  0.500
Sb  0.814  0.314  0.500
Sb  0.314  0.186  0.500
Sb  0.686  0.814  0.500
Sc  0.500  0.500  0.000
Sc  0.000  0.000  0.000

## Properties
N(E_F) = 3.9 states/eV/cell
SG = P4/mbm
magnetic moment = 0.000 μB/atom
total energy = -4.174 eV per atom
volume = 20.53 Å³/atom
formation energy (no corrections) = -47.6 kJ per mole of atoms
energy above the most stable polymorph in this dataset = 0 meV per atom

***

(4)
Here is VFe2Rh2 after structural relaxation from the Alexandria database. Energies are from PBE-GGA.

Lattice parameters (Å, degrees): 7.059 7.059 2.690 90.00 90.00 90.00
Element x y z (fractional)
V  0.500  0.500  0.000
V  0.000  0.000  0.000
Rh  0.321  0.179  0.500
Rh  0.679  0.821  0.500
Rh  0.821  0.321  0.500
Rh  0.179  0.679  0.500
Fe  0.882  0.618  0.000
Fe  0.618  0.118  0.000
Fe  0.118  0.382  0.000
Fe  0.382  0.882  0.000

## Properties
N(E_F) = 10.3 states/eV/cell
energy of formation = 1.6 kcal/mol of atoms
SG = P4/mbm
magnetic moment = 0.625 μB/atom
total energy = -8.079 eV per atom
volume = 13.40 Å³/atom
energy above the most stable polymorph in this dataset = 214 meV per atom

***

(5)
Here is TcHgIO4 after structural relaxation from the Alexandria database. Energies are from PBE-GGA.

Lattice parameters (Å, degrees): 7.169 7.169 8.596 64.45 64.45 68.30
Element x y z (fractional)
I  0.927  0.927  0.819
I  0.073  0.073  0.181
Hg  0.816  0.816  0.181
Hg  0.184  0.184  0.819
Tc  0.618  0.618  0.689
Tc  0.382  0.382  0.311
O  0.488  0.138  0.275
O  0.551  0.551  0.164
O  0.862  0.512  0.725
O  0.651  0.651  0.461
O  0.512  0.862  0.725
O  0.349  0.349  0.539
O  0.449  0.449  0.836
O  0.138  0.488  0.275

## Properties
N(E_F) = 0.0 states/eV/cell
SG = C2/m
magnetic moment = 0.000 μB/atom
total energy = -5.548 eV per atom
volume = 25.02 Å³/atom
formation energy (no corrections) = -93.5 kJ per mole of atoms

***

(6)
Here is PmPr5Cu6 after structural relaxation from the Alexandria database. Energies are from PBE-GGA.

Lattice parameters (Å, degrees): 5.131 7.172 8.859 66.12 73.06 90.00
Element x y z (fractional)
Pr  0.332  0.832  0.335
Pr  0.334  0.334  0.332
Pr  0.668  0.168  0.665
Pr  0.000  0.500  0.000
Pr  0.666  0.666  0.668
Cu  0.500  0.241  0.000
Cu  0.835  0.081  0.329
Cu  0.500  0.759  0.000
Cu  0.165  0.919  0.671
Cu  0.835  0.590  0.329
Cu  0.165  0.410  0.671
Pm  0.000  0.000  0.000

## Properties
N(E_F) = 10.5 states/eV/cell
energy of formation = -2.9 kcal/mol of atoms
SG = C2/m
magnetic moment = 0.000 μB/atom
total energy = -4.561 eV per atom
volume = 23.55 Å³/atom

***

(7)
Here is Ba2AgAs2S6 after structural relaxation from the Alexandria database. Energies are from PBE-GGA.

Lattice parameters (Å, degrees): 7.007 7.007 8.432 65.45 65.45 60.00
Element x y z (fractional)
As  0.443  0.443  0.671
As  0.557  0.557  0.329
S  0.242  0.784  0.733
S  0.784  0.242  0.733
S  0.216  0.758  0.267
S  0.242  0.242  0.733
S  0.758  0.758  0.267
S  0.758  0.216  0.267
Ba  0.216  0.216  0.352
Ba  0.784  0.784  0.648
Ag  0.000  0.000  0.000

## Properties
N(E_F) = 3.0 states/eV/cell
SG = R-3m
magnetic moment = 0.000 μB/atom
total energy = -4.453 eV per atom
volume = 28.60 Å³/atom
formation energy (no corrections) = -72.1 kJ per mole of atoms

***

(8)
Here is FeTcW2 after structural relaxation from the Alexandria database. Energies are from PBE-GGA.

Lattice parameters (Å, degrees): 4.823 4.823 4.823 133.28 133.28 68.22
Element x y z (fractional)
Fe  0.500  0.500  0.000
W  0.000  0.000  0.000
W  0.250  0.750  0.500
Tc  0.750  0.250  0.500

## Properties
N(E_F) = 4.3 states/eV/cell
energy of formation = 5.5 kcal/mol of atoms
SG = I-4m2
magnetic moment = 0.239 μB/atom
total energy = -10.946 eV per atom
volume = 14.60 Å³/atom
energy above the most stable polymorph in this dataset = 135 meV per atom

***

(9)
Here is FeIr2ICl after structural relaxation from the Alexandria database. Energies are from PBE-GGA.

Lattice parameters (Å, degrees): 4.674 4.249 4.674 90.00 90.00 90.00
Element x y z (fractional)
Ir  0.500  0.000  0.000
Ir  0.000  0.000  0.500
Fe  0.000  0.500  0.000
Cl  0.000  0.000  0.000
I  0.500  0.500  0.500

## Properties
N(E_F) = 6.1 states/eV/cell
SG = P4/mmm
magnetic moment = 0.685 μB/atom
total energy = -4.456 eV per atom
volume = 18.56 Å³/atom
formation energy (no corrections) = 140.9 kJ per mole of atoms

***

(10)
Here is KRbCoCl6 after structural relaxation from the Alexandria database. Energies are from PBE-GGA.

Lattice parameters (Å, degrees): 7.338 7.404 6.362 90.25 90.13 59.73
Element x y z (fractional)
K  0.662  0.669  0.500
Cl  0.083  0.585  0.704
Cl  0.584  0.080  0.295
Cl  0.584  0.335  0.704
Cl  0.083  0.332  0.296
Cl  0.335  0.576  0.289
Cl  0.335  0.088  0.711
Co  0.334  0.333  0.500
Rb  0.999  0.000  0.000

## Properties
N(E_F) = 14.9 states/eV/cell
SG = C2
magnetic moment = 0.130 μB/atom
total energy = -3.313 eV per atom
volume = 33.17 Å³/atom
formation energy (no corrections) = -102.6 kJ per mole of atoms

***

(11)
Here is DyHo2ErTm4 after structural relaxation from the Alexandria database. Energies are from PBE-GGA.

Lattice parameters (Å, degrees): 4.942 4.947 11.069 63.49 90.00 90.00
Element x y z (fractional)
Tm  0.500  0.749  0.251
Tm  0.500  0.251  0.749
Tm  0.000  0.751  0.749
Tm  0.000  0.249  0.251
Er  0.000  0.500  0.500
Dy  0.500  0.500  0.000
Ho  0.000  0.000  0.000
Ho  0.500  0.000  0.500

## Properties
N(E_F) = 11.0 states/eV/cell
energy of formation = 0.6 kcal/mol of atoms
SG = P4/mmm
magnetic moment = 0.000 μB/atom
total energy = -4.501 eV per atom
volume = 30.27 Å³/atom

***

(12)
Here is RbBa2HfRe after structural relaxation from the Alexandria database. Energies are from PBE-GGA.

Lattice parameters (Å, degrees): 6.697 4.884 6.697 90.00 90.00 90.00
Element x y z (fractional)
Rb  0.500  0.500  0.500
Ba  0.500  0.000  0.000
Ba  0.000  0.000  0.500
Re  0.000  0.500  0.000
Hf  0.000  0.000  0.000

## Properties
N(E_F) = 5.2 states/eV/cell
energy of formation = 23.6 kcal/mol of atoms
SG = P4/mmm
magnetic moment = 0.000 μB/atom
total energy = -4.418 eV per atom
volume = 43.81 Å³/atom